Here is a relaxed structure of KRbAsPd from OQMD via LeMat-Bulk. Energies are from GGA-PBE.

```
8
Lattice="5.9726 0.0000 0.0000 0.0000 5.1383 3.9203 0.0000 -5.1383 3.9203" Properties=species:S:1:pos:R:3 pbc="T T T"
K 0.0000 -3.3811 3.9203
K 0.0000 3.3811 3.9203
Rb 2.9863 -1.7789 2.3672
Rb 2.9863 1.7789 2.3672
As 0.0000 0.0000 3.1650
As 2.9863 0.0000 7.0653
Pd 1.4562 0.0000 5.1486
Pd 4.5164 0.0000 5.1486
```

Calculated values
The space group is Amm2 (38). The volume comes out at 30.08 Å³/atom. Its relative energy among the computed polymorphs is 0.01 eV/f.u. The crystal system is orthorhombic.

***

Here is a relaxed structure of KRbAsPd from OQMD via LeMat-Bulk. Energies are from GGA-PBE.

```
8
Lattice="6.4124 0.0000 0.0000 0.0000 5.9617 0.0000 -1.7077 0.0000 6.3235" Properties=species:S:1:pos:R:3 pbc="T T T"
K 1.1279 1.4904 0.0846
K 3.5767 4.4713 6.2389
Rb 2.4680 4.4713 2.0443
Rb 2.2366 1.4904 4.2792
As 0.2348 4.4713 4.7878
As 4.4699 1.4904 1.5357
Pd -0.8539 0.0000 3.1617
Pd -0.8539 2.9809 3.1617
```

Calculated values
The space group is P2_1/m (11). The volume comes out at 30.22 Å³/atom. Its relative energy among the computed polymorphs is 0.00 eV/f.u. The crystal system is monoclinic.

***

Here is a relaxed structure of KRbAsPd from OQMD via LeMat-Bulk. Energies are from GGA-PBE.

```
8
Lattice="5.9613 0.0000 0.0000 0.0000 3.9226 5.1467 0.0000 -3.9226 5.1467" Properties=species:S:1:pos:R:3 pbc="T T T"
K 1.4903 -2.7465 5.1467
K 4.4710 2.7465 5.1467
Rb 1.4903 1.1578 6.7590
Rb 4.4710 -1.1578 6.7590
As 1.4903 1.9384 3.4094
As 4.4710 -1.9384 3.4094
Pd 0.0000 0.0000 3.2315
Pd 2.9806 0.0000 3.2315
```

Calculated values
The space group is Ama2 (40). The volume comes out at 30.09 Å³/atom. Its relative energy among the computed polymorphs is 0.00 eV/f.u. The crystal system is orthorhombic.

***

Here is a relaxed structure of KPmAs from OQMD via LeMat-Bulk. Energies are from GGA-PBE.

```
3
Lattice="0.0000 3.6279 3.6279 3.6279 0.0000 3.6279 3.6279 3.6279 0.0000" Properties=species:S:1:pos:R:3 pbc="T T T"
K 0.0000 0.0000 0.0000
Pm 3.6279 3.6279 3.6279
As 1.8140 1.8140 1.8140
```

Calculated values
The space group is F-43m (216). The volume comes out at 31.83 Å³/atom. Its relative energy among the computed polymorphs is 0.00 eV/f.u. The crystal system is cubic.

***

Here is a relaxed structure of KRbPr2As2 from OQMD via LeMat-Bulk. Energies are from GGA-PBE.

```
6
Lattice="5.2797 0.0000 0.0000 0.0000 5.2797 0.0000 0.0000 0.0000 8.0755" Properties=species:S:1:pos:R:3 pbc="T T T"
K 0.0000 0.0000 0.0000
Rb 2.6399 2.6399 6.2343
Pr 0.0000 2.6399 3.0878
Pr 2.6399 0.0000 3.0878
As 0.0000 0.0000 4.5982
As 2.6399 2.6399 1.6350
```

Calculated values
The space group is P4mm (99). The volume comes out at 37.52 Å³/atom. The crystal system is tetragonal. The calculation puts the total energy at -0.30790 Ry per atom.

***

Here is a relaxed structure of KPrAsSe3 from OQMD via LeMat-Bulk. Energies are from GGA-PBE.

```
12
Lattice="2.2624 -8.0959 0.0000 2.2624 8.0959 0.0000 0.0000 0.0000 10.2045" Properties=species:S:1:pos:R:3 pbc="T T T"
K 2.2624 4.1159 7.6534
K 2.2624 -4.1159 2.5511
Pr 0.0000 0.0000 0.0000
Pr 0.0000 0.0000 5.1022
As 2.2624 0.5933 2.5511
As 2.2624 -0.5933 7.6534
Se 2.2624 6.4009 2.5511
Se 2.2624 2.0193 0.5404
Se 2.2624 2.0193 4.5619
Se 2.2624 -2.0193 5.6426
Se 2.2624 -2.0193 9.6641
Se 2.2624 -6.4009 7.6534
```

Calculated values
The space group is Cmcm (63). The volume comes out at 31.15 Å³/atom. The crystal system is orthorhombic. The calculation puts the total energy at -0.32789 Ry per atom.